[1]
DFT (PBE) results for a geometry-optimized Ni3MoPt3 structure.

distance to the lowest polymorph of the same formula = 1.12 eV per formula unit
formation energy = 0.029 eV per atom
calculated density = 14.4 Mg/m³
total magnetic moment = 0.0 Bohr magnetons per cell
calculated total energy = -6.58 eV per atom
crystal system = cubic

a b c (Å): 7.3420 7.3420 7.3420
angles (deg): 90.00 90.00 90.00
Fractional coordinates of all 28 atoms:
Pt  0.0465  0.6823  0.6313
Pt  0.1823  0.8687  0.9535
Pt  0.3687  0.5465  0.8177
Pt  0.6823  0.6313  0.0465
Pt  0.6313  0.0465  0.6823
Pt  0.5465  0.8177  0.3687
Pt  0.4535  0.3177  0.1313
Pt  0.9535  0.1823  0.8687
Pt  0.8177  0.3687  0.5465
Pt  0.3177  0.1313  0.4535
Pt  0.8687  0.9535  0.1823
Pt  0.1313  0.4535  0.3177
Ni  0.8315  0.3315  0.1685
Ni  0.8498  0.6502  0.3498
Ni  0.1479  0.3521  0.6479
Ni  0.1685  0.8315  0.3315
Ni  0.1502  0.1502  0.1502
Ni  0.6685  0.6685  0.6685
Ni  0.3521  0.6479  0.1479
Ni  0.3498  0.8498  0.6502
Ni  0.3315  0.1685  0.8315
Ni  0.8521  0.8521  0.8521
Ni  0.6502  0.3498  0.8498
Ni  0.6479  0.1479  0.3521
Mo  0.4728  0.4728  0.4728
Mo  0.9728  0.0272  0.5272
Mo  0.0272  0.5272  0.9728
Mo  0.5272  0.9728  0.0272

[2]
DFT (PBE) results for a geometry-optimized Ni2MoPt5 structure.

distance to the lowest polymorph of the same formula = 0.00 eV per formula unit
formation energy = -0.178 eV per atom
calculated density = 16.9 Mg/m³
total magnetic moment = 0.0 Bohr magnetons per cell
calculated total energy = -6.75 eV per atom
crystal system = orthorhombic

a b c (Å): 3.8507 5.4896 11.0346
angles (deg): 90.00 90.00 90.00
Fractional coordinates of all 16 atoms:
Ni  0.5000  0.2540  0.8786
Ni  0.5000  0.2460  0.3786
Ni  0.5000  0.7460  0.1214
Ni  0.5000  0.7540  0.6214
Pt  0.0000  0.5000  0.5000
Pt  0.0000  0.4946  0.7571
Pt  0.5000  0.2471  0.6196
Pt  0.5000  0.2529  0.1196
Pt  0.0000  0.0000  0.0000
Pt  0.0000  0.0054  0.2571
Pt  0.0000  0.5054  0.2429
Pt  0.5000  0.7529  0.3804
Pt  0.5000  0.7471  0.8804
Pt  0.0000  0.9946  0.7429
Mo  0.0000  0.5000  0.0000
Mo  0.0000  0.0000  0.5000